Record 1
The following is a DFT calculation (PBE) of a relaxed TbPuPd crystal.

a = 6.0162 Å, b = 3.4836 Å, c = 6.5902 Å
α = 90.00°, β = 97.54°, γ = 90.00°
Element x y z (fractional)
Tb: 0.0491 0.2500 0.2548
Tb: 0.9509 0.7500 0.7452
Pu: 0.4767 0.2500 0.8831
Pu: 0.5233 0.7500 0.1169
Pd: 0.3264 0.7500 0.5193
Pd: 0.6736 0.2500 0.4807

Values from the calculation:
D(E_F) in states/eV/f.u.: 5.7
E_form in eV/atom: -0.21
Polymorph energy (0 for the lowest one) in meV/atom: 129.1


Record 2
The following is a DFT calculation (PBE) of a relaxed TbPu4Pd5 crystal.

a = 3.7471 Å, b = 3.7471 Å, c = 14.7135 Å
α = 90.00°, β = 90.00°, γ = 90.00°
Element x y z (fractional)
Tb: 0.0000 0.0000 0.0000
Pu: 0.0000 0.0000 0.2306
Pu: 0.0000 0.0000 0.3825
Pu: 0.0000 0.0000 0.6175
Pu: 0.0000 0.0000 0.7694
Pd: 0.5000 0.5000 0.1081
Pd: 0.5000 0.5000 0.3043
Pd: 0.5000 0.5000 0.5000
Pd: 0.5000 0.5000 0.6957
Pd: 0.5000 0.5000 0.8919

Values from the calculation:
D(E_F) in states/eV/f.u.: 28.2
E_form in eV/atom: 0.11


Record 3
The following is a DFT calculation (PBE) of a relaxed Tb2PuPd9 crystal.

a = 4.1319 Å, b = 4.1319 Å, c = 12.4254 Å
α = 90.00°, β = 90.00°, γ = 90.00°
Element x y z (fractional)
Tb: 0.0000 0.0000 0.1651
Tb: 0.0000 0.0000 0.8349
Pu: 0.0000 0.0000 0.5000
Pd: 0.0000 0.5000 0.0000
Pd: 0.0000 0.5000 0.3353
Pd: 0.0000 0.5000 0.6647
Pd: 0.5000 0.0000 0.0000
Pd: 0.5000 0.0000 0.3353
Pd: 0.5000 0.0000 0.6647
Pd: 0.5000 0.5000 0.1666
Pd: 0.5000 0.5000 0.5000
Pd: 0.5000 0.5000 0.8334

Values from the calculation:
D(E_F) in states/eV/f.u.: 19.8
E_form in eV/atom: -0.77


In eV per atom, the final energy values for the records above are, in order, -8.258; -8.684; -6.629.